A | # CsSbWO6 (PBE+U, optimized geometry)
# - size of the total moment (μB/f.u.) = 0.0
# - calculated volume (Å³/cell) = 170
data_CsSbWO6
_symmetry_space_group_name_H-M 'P 3 1 2'
_symmetry_Int_Tables_number 149
_symmetry_space_group_name_Hall 'P 3 2'
_cell_length_a 5.3924
_cell_length_b 5.3924
_cell_length_c 6.7614
_cell_angle_alpha 90.00
_cell_angle_beta 90.00
_cell_angle_gamma 120.00
loop_
_atom_site_label
_atom_site_type_symbol
_atom_site_fract_x
_atom_site_fract_y
_atom_site_fract_z
_atom_site_occupancy
Cs1 Cs 0.0000 0.0000 0.0000 1
Sb1 Sb 0.3333 0.6667 0.5000 1
W1 W 0.6667 0.3333 0.5000 1
O1 O 0.4029 0.0080 0.6659 1

---

B | # CsSbWO6 (PBE+U, optimized geometry)
# - size of the total moment (μB/f.u.) = 0.0
# - calculated volume (Å³/cell) = 572
data_CsSbWO6
_symmetry_space_group_name_H-M 'I m m a'
_symmetry_Int_Tables_number 74
_symmetry_space_group_name_Hall '-I 2b 2'
_cell_length_a 7.3307
_cell_length_b 7.4343
_cell_length_c 10.5007
_cell_angle_alpha 90.00
_cell_angle_beta 90.00
_cell_angle_gamma 90.00
loop_
_atom_site_label
_atom_site_type_symbol
_atom_site_fract_x
_atom_site_fract_y
_atom_site_fract_z
_atom_site_occupancy
Cs1 Cs 0.0000 0.2500 0.1228 1
Sb1 Sb 0.2500 0.2500 0.7500 1
W1 W 0.0000 0.0000 0.5000 1
O1 O 0.0000 0.2500 0.4417 1
O2 O 0.0000 0.2500 0.8235 1
O3 O 0.1877 0.0578 0.6230 1

---

It turns out B is the most stable, with the second structure 71 meV per atom higher.